Entry A
Computed, not measured: a relaxed structure of K3SiAu at the PBE level of DFT.

Output
As for the density of states at the Fermi level: 4.20 states/eV/cell.

The structure in extended XYZ format:
```
5
Lattice="-1.548 5.800 1.451 -5.611 -0.891 -2.422 -2.065 -1.925 5.493" Properties=species:S:1:pos:R:3 pbc="T T T"
K -2.805 -0.446 -1.211
K -1.033 -0.963 2.746
K -0.774 2.900 0.726
Au 0.000 0.000 0.000
Si -4.612 1.492 2.261
```

***

Entry B
Computed, not measured: a relaxed structure of K3SiAu at the PBE level of DFT.

Output
As for the density of states at the Fermi level: 7.06 states/eV/cell.

The structure in extended XYZ format:
```
10
Lattice="-1.857 -4.272 -6.993 6.874 -3.709 3.096 -5.185 0.504 5.642" Properties=species:S:1:pos:R:3 pbc="T T T"
K -2.543 -3.457 -4.394
K 1.250 -2.264 1.095
K -1.418 -5.212 0.650
K 0.882 -4.654 -2.682
K 2.375 -4.020 6.139
K -1.050 -2.822 4.427
Si -4.347 -2.627 -0.216
Si 4.179 -4.849 1.961
Au 2.049 -5.499 0.550
Au -2.217 -1.977 1.195
```

***

Most stable structure, least stable structure: entry B, entry A.

***

Entry A
Computed, not measured: a relaxed structure of K2Si2Au at the PBE level of DFT.

Output
As for the density of states at the Fermi level: 2.79 states/eV/cell.

The structure in extended XYZ format:
```
5
Lattice="6.808 0.000 0.000 0.000 6.808 0.000 3.404 3.404 3.403" Properties=species:S:1:pos:R:3 pbc="T T T"
K 6.808 3.404 1.701
K 3.404 6.808 1.701
Au 0.000 0.000 0.000
Si 3.404 3.404 1.073
Si 6.808 6.808 2.330
```

***

Entry B
Computed, not measured: a relaxed structure of K2Si2Au at the PBE level of DFT.

Output
As for the density of states at the Fermi level: 7.71 states/eV/cell.

The structure in extended XYZ format:
```
10
Lattice="6.472 -0.201 0.000 -1.654 6.260 0.000 0.000 0.000 7.495" Properties=species:S:1:pos:R:3 pbc="T T T"
K 4.952 1.008 0.000
K -0.134 5.052 3.748
K -0.134 5.051 0.000
K 4.952 1.008 3.748
Si 1.743 2.192 3.094
Si 3.074 3.867 6.841
Si 1.743 2.192 0.654
Si 3.074 3.867 4.402
Au 1.538 1.935 5.621
Au 3.279 4.125 1.874
```

***

Entry C
Computed, not measured: a relaxed structure of K2Si2Au at the PBE level of DFT.

Output
As for the density of states at the Fermi level: 5.66 states/eV/cell.

The structure in extended XYZ format:
```
10
Lattice="6.530 0.000 0.000 0.000 6.530 0.000 0.000 0.000 5.663" Properties=species:S:1:pos:R:3 pbc="T T T"
K 1.192 4.457 2.831
K 4.457 5.339 2.831
K 5.339 2.074 2.831
K 2.074 1.192 2.831
Au 0.000 0.000 0.000
Au 3.265 3.265 0.000
Si 2.424 5.689 0.000
Si 5.689 4.106 0.000
Si 4.106 0.841 0.000
Si 0.841 2.424 0.000
```

***

Most stable structure, least stable structure: entry C, entry A.

***

Entry A
Computed, not measured: a relaxed structure of K2SiAu2 at the PBE level of DFT.

Output
As for the density of states at the Fermi level: 2.29 states/eV/cell.

The structure in extended XYZ format:
```
10
Lattice="6.256 -0.148 -0.094 2.695 5.647 -0.094 1.166 0.717 7.672" Properties=species:S:1:pos:R:3 pbc="T T T"
K 3.704 1.336 0.976
K 6.668 3.157 2.672
K 6.413 4.880 6.508
K 3.449 3.059 4.812
Si 3.182 5.509 1.824
Si 6.936 0.708 5.660
Au 5.258 0.357 3.822
Au 8.007 2.045 7.498
Au 4.860 5.860 3.661
Au 2.111 4.171 -0.014
```

***

Entry B
Computed, not measured: a relaxed structure of K2SiAu2 at the PBE level of DFT.

Output
As for the density of states at the Fermi level: 2.49 states/eV/cell.

The structure in extended XYZ format:
```
10
Lattice="6.802 0.000 0.000 0.000 6.802 0.000 0.000 0.000 5.547" Properties=species:S:1:pos:R:3 pbc="T T T"
K 1.166 4.567 2.773
K 4.567 5.636 2.773
K 5.636 2.235 2.773
K 2.235 1.166 2.773
Au 2.346 5.747 0.000
Au 5.747 4.455 0.000
Au 4.455 1.054 0.000
Au 1.054 2.346 0.000
Si 0.000 0.000 0.000
Si 3.401 3.401 0.000
```

***

Most stable structure, least stable structure: entry A, entry B.

***

Entry A
Computed, not measured: a relaxed structure of KSiAu4 at the PBE level of DFT.

Output
As for the density of states at the Fermi level: 6.83 states/eV/cell.

The structure in extended XYZ format:
```
6
Lattice="1.759 1.539 5.141 2.010 5.207 0.855 -2.994 3.723 3.011" Properties=species:S:1:pos:R:3 pbc="T T T"
K 0.581 7.852 6.755
Si 0.000 0.000 0.000
Au 1.172 4.694 5.951
Au -1.209 5.788 4.884
Au 1.297 6.532 3.804
Au 0.290 3.923 3.375
```

***

Entry B
Computed, not measured: a relaxed structure of KSiAu4 at the PBE level of DFT.

Output
As for the density of states at the Fermi level: 1.35 states/eV/cell.

The structure in extended XYZ format:
```
12
Lattice="-2.990 -3.120 4.578 5.130 1.298 4.234 -4.236 3.912 4.228" Properties=species:S:1:pos:R:3 pbc="T T T"
K -3.388 -0.590 6.041
K 1.292 2.680 6.998
Si -1.895 2.872 9.375
Si -0.201 -0.781 3.664
Au -1.252 0.771 8.363
Au 0.354 -0.606 6.571
Au -2.233 -2.330 3.420
Au -4.124 0.948 9.034
Au -0.843 1.320 4.677
Au -2.449 2.696 6.469
Au -0.756 -0.789 1.158
Au 2.029 1.142 4.006
```

***

Most stable structure, least stable structure: entry B, entry A.

***

Entry A
Computed, not measured: a relaxed structure of K3Sn2Au4 at the PBE level of DFT.

Output
As for the density of states at the Fermi level: 3.17 states/eV/cell.

The structure in extended XYZ format:
```
9
Lattice="-1.101 -0.135 -4.698 -4.791 -4.425 -1.224 -9.444 3.695 -0.358" Properties=species:S:1:pos:R:3 pbc="T T T"
K -7.101 1.645 -3.334
K 0.000 0.000 0.000
K -8.235 -2.510 -2.946
Sn -4.965 -1.314 -3.755
Sn -10.371 0.449 -2.525
Au -3.056 -1.483 -1.718
Au -9.501 -0.157 -5.191
Au -5.835 -0.708 -1.089
Au -12.280 0.618 -4.562
```

***

Entry B
Computed, not measured: a relaxed structure of K3Sn2Au4 at the PBE level of DFT.

Output
As for the density of states at the Fermi level: 2.28 states/eV/cell.

The structure in extended XYZ format:
```
9
Lattice="-4.249 1.408 -1.993 4.381 -2.074 -4.783 -4.182 -7.593 3.552" Properties=species:S:1:pos:R:3 pbc="T T T"
K -4.527 -4.829 0.218
K 0.000 0.000 0.000
K 0.477 -3.431 -3.442
Sn -2.670 -2.291 -1.949
Sn -1.380 -5.968 -1.275
Au -1.341 -0.457 -3.488
Au -2.710 -7.803 0.264
Au -2.913 -4.783 -3.192
Au -1.137 -3.477 -0.032
```

***

Most stable structure, least stable structure: entry A, entry B.

***

Entry A
Computed, not measured: a relaxed structure of KSnAu4 at the PBE level of DFT.

Output
As for the density of states at the Fermi level: 3.55 states/eV/cell.

The structure in extended XYZ format:
```
12
Lattice="-1.766 2.146 3.307 -1.964 -6.169 2.954 8.624 -1.443 2.719" Properties=species:S:1:pos:R:3 pbc="T T T"
K 1.109 -1.619 1.642
K 3.786 -3.848 7.339
Sn 2.262 -4.805 4.325
Sn 2.633 -0.661 4.656
Au -1.865 -2.012 3.131
Au -0.883 1.073 1.654
Au -0.247 -4.876 5.853
Au 5.142 -0.590 3.128
Au 4.376 -2.996 4.280
Au 0.519 -2.470 4.700
Au -0.355 -4.680 2.847
Au 5.250 -0.786 6.134
```

***

Entry B
Computed, not measured: a relaxed structure of KSnAu4 at the PBE level of DFT.

Output
As for the density of states at the Fermi level: 6.22 states/eV/cell.

The structure in extended XYZ format:
```
6
Lattice="-2.723 -4.668 1.895 2.997 -4.438 2.031 -0.085 -1.190 5.602" Properties=species:S:1:pos:R:3 pbc="T T T"
K 0.000 0.000 0.000
Au 0.161 -5.840 3.153
Au -1.381 -4.216 4.939
Au 0.118 -6.435 5.955
Au 1.480 -4.100 5.007
Sn 0.047 -2.574 2.382
```

***

Most stable structure, least stable structure: entry B, entry A.

***

Entry A
Computed, not measured: a relaxed structure of KSn4Au6 at the PBE level of DFT.

Output
As for the density of states at the Fermi level: 4.13 states/eV/cell.

The structure in extended XYZ format:
```
11
Lattice="-0.413 -0.622 -3.969 8.586 0.501 -0.972 -3.737 -7.644 1.587" Properties=species:S:1:pos:R:3 pbc="T T T"
K 0.371 -4.929 0.734
Sn 3.258 -4.522 -1.685
Sn 6.534 -2.427 -2.354
Sn 0.000 0.000 0.000
Sn 3.024 -0.627 -2.271
Au -2.641 -6.332 -0.788
Au 0.576 -2.266 -1.760
Au 5.544 -3.605 -0.012
Au 2.747 -2.416 0.093
Au 5.144 -0.621 -0.438
Au 2.558 -7.123 -1.205
```

***

Entry B
Computed, not measured: a relaxed structure of KSn4Au6 at the PBE level of DFT.

Output
As for the density of states at the Fermi level: 5.32 states/eV/cell.

The structure in extended XYZ format:
```
11
Lattice="7.345 -0.213 -0.313 -3.585 6.414 0.313 -3.585 -2.067 6.080" Properties=species:S:1:pos:R:3 pbc="T T T"
K 0.000 0.000 0.000
Sn -2.529 -0.091 3.360
Sn 1.264 1.850 2.720
Sn -2.529 3.158 1.150
Sn -3.200 3.565 5.243
Au -4.459 4.336 2.866
Au -4.459 1.071 5.086
Au 3.187 0.676 0.994
Au 1.880 -1.140 2.883
Au -1.263 2.398 3.527
Au 1.880 3.101 0.000
```

***

Most stable structure, least stable structure: entry A, entry B.

***

Entry A
Computed, not measured: a relaxed structure of K3Sn3Au8 at the PBE level of DFT.

Output
As for the density of states at the Fermi level: 4.73 states/eV/cell.

The structure in extended XYZ format:
```
14
Lattice="-3.691 0.423 -2.796 -7.037 1.135 5.595 -2.960 9.245 1.439" Properties=species:S:1:pos:R:3 pbc="T T T"
K -8.373 6.908 4.366
K -5.315 3.895 -0.127
K 0.000 0.000 0.000
Sn -4.999 5.190 3.517
Sn -10.031 10.173 3.182
Sn -3.657 0.630 1.057
Au -3.379 6.171 1.528
Au -10.309 4.632 2.711
Au -8.742 8.540 1.234
Au -4.946 2.262 3.005
Au -7.481 3.761 2.712
Au -6.207 7.042 1.527
Au -2.270 2.424 -0.503
Au -11.418 8.378 4.742
```

***

Entry B
Computed, not measured: a relaxed structure of K3Sn3Au8 at the PBE level of DFT.

Output
As for the density of states at the Fermi level: 4.81 states/eV/cell.

The structure in extended XYZ format:
```
14
Lattice="4.872 0.000 0.000 2.436 8.663 0.117 2.436 2.471 8.304" Properties=species:S:1:pos:R:3 pbc="T T T"
K 4.872 5.567 4.211
K 4.872 2.324 1.758
K 4.872 8.810 6.663
Sn 2.436 0.000 0.000
Sn 2.436 7.351 1.852
Sn 2.436 3.783 6.570
Au 4.872 2.275 5.419
Au 4.872 8.860 3.002
Au 4.872 5.834 0.713
Au 4.872 5.301 7.708
Au 7.309 8.251 4.475
Au 2.436 2.883 3.946
Au 7.309 6.553 6.721
Au 2.436 4.582 1.700
```

***

Most stable structure, least stable structure: entry A, entry B.

***

Entry A
Computed, not measured: a relaxed structure of KSn2Au2 at the PBE level of DFT.

Output
As for the density of states at the Fermi level: 4.03 states/eV/cell.

The structure in extended XYZ format:
```
10
Lattice="-3.463 -7.278 -2.604 3.505 -5.314 -3.581 -0.212 -6.302 4.147" Properties=species:S:1:pos:R:3 pbc="T T T"
K -0.455 -11.930 -3.928
K 0.285 -6.965 1.889
Sn 0.896 -7.629 -3.982
Sn -1.825 -9.944 -0.771
Sn -1.066 -11.265 1.944
Sn 1.656 -8.951 -1.268
Au -0.829 -7.617 -1.709
Au -0.045 -15.245 -2.078
Au -0.125 -3.649 0.040
Au 0.659 -11.278 -0.329
```

***

Entry B
Computed, not measured: a relaxed structure of KSn2Au2 at the PBE level of DFT.

Output
As for the density of states at the Fermi level: 2.35 states/eV/cell.

The structure in extended XYZ format:
```
5
Lattice="4.960 0.000 0.000 0.000 4.960 0.000 2.480 2.480 5.604" Properties=species:S:1:pos:R:3 pbc="T T T"
K 0.000 0.000 0.000
Au 4.960 2.480 2.802
Au 2.480 4.960 2.802
Sn 2.480 2.480 1.514
Sn 4.960 4.960 4.090
```

***

Entry C
Computed, not measured: a relaxed structure of KSn2Au2 at the PBE level of DFT.

Output
As for the density of states at the Fermi level: 2.62 states/eV/cell.

The structure in extended XYZ format:
```
5
Lattice="-3.838 2.480 1.889 0.951 -1.922 4.455 1.931 4.623 4.326" Properties=species:S:1:pos:R:3 pbc="T T T"
K 0.000 0.000 0.000
Au -0.582 1.388 3.467
Au -0.374 3.794 7.203
Sn -1.675 3.691 4.693
Sn 0.719 1.490 5.977
```

***

Entry D
Computed, not measured: a relaxed structure of KSn2Au2 at the PBE level of DFT.

Output
As for the density of states at the Fermi level: 3.38 states/eV/cell.

The structure in extended XYZ format:
```
10
Lattice="8.878 0.000 0.000 0.000 8.878 0.000 0.000 0.000 3.167" Properties=species:S:1:pos:R:3 pbc="T T T"
K 0.000 0.000 0.000
K 4.439 4.439 0.000
Au 3.108 7.547 0.000
Au 7.547 5.770 0.000
Au 5.770 1.331 0.000
Au 1.331 3.108 0.000
Sn 1.263 5.703 1.583
Sn 5.703 7.615 1.583
Sn 7.615 3.176 1.583
Sn 3.176 1.263 1.583
```

***

Most stable structure, least stable structure: entry B, entry D.

***

Entry A
Computed, not measured: a relaxed structure of K3Sn4Au2 at the PBE level of DFT.

Output
As for the density of states at the Fermi level: 2.49 states/eV/cell.

The structure in extended XYZ format:
```
9
Lattice="4.724 0.000 1.260 1.956 5.822 2.151 -0.058 0.158 9.700" Properties=species:S:1:pos:R:3 pbc="T T T"
K 2.903 4.515 8.086
K 0.000 0.000 0.000
K 3.719 1.465 5.025
Sn 1.969 2.303 2.103
Sn 4.653 3.676 11.008
Sn 0.635 2.056 7.104
Sn 5.987 3.923 6.007
Au 3.726 5.317 4.998
Au 2.896 0.662 8.113
```

***

Entry B
Computed, not measured: a relaxed structure of K3Sn4Au2 at the PBE level of DFT.

Output
As for the density of states at the Fermi level: 3.77 states/eV/cell.

The structure in extended XYZ format:
```
9
Lattice="4.586 0.000 0.008 2.289 6.804 0.480 2.303 3.256 9.857" Properties=species:S:1:pos:R:3 pbc="T T T"
K 4.590 2.846 6.133
K 0.000 0.000 0.000
K 4.589 7.215 4.213
Sn 2.296 2.605 1.014
Sn 6.889 5.651 6.593
Sn 2.290 4.409 3.752
Sn 6.883 7.455 9.331
Au 4.588 3.882 2.313
Au 4.591 6.178 8.032
```

***

Most stable structure, least stable structure: entry A, entry B.